# 1
SrLa3Tc GGA-PBE optimized geometry; energy of formation from the pure elements = -0.010 eV/atom; ρ = 5.347 g cm⁻³; raw total energy = -5.38 eV per atom; total magnetic moment = 0.000 μB per cell; ΔE to the lowest computed polymorph = 0 meV per atom; calculated volume = 37.4 Å³ per atom
1.0
5.601 0.023 0.035
-0.054 7.286 3.841
-0.067 -0.139 9.095
Sr La Tc
2 6 2
Direct
0.345 0.489 0.748
0.344 0.235 0.256
0.345 0.737 0.251
0.845 0.630 0.002
0.845 0.362 0.502
0.845 0.862 0.502
0.845 0.094 0.002
0.344 0.987 0.752
0.830 0.006 0.714
0.860 0.718 0.289

---

# 2
AgAu2Cl GGA-PBE optimized geometry; ρ = 10.429 g cm⁻³; raw total energy = -2.85 eV per atom; total magnetic moment = 0.000 μB per cell; ΔE to the lowest computed polymorph = 0 meV per atom; calculated volume = 21.4 Å³ per atom
1.0
-2.491 2.163 -1.114
-1.726 -2.734 -1.449
-3.499 -0.988 5.904
Cl Ag Au
1 1 2
Direct
0.000 0.495 0.503
0.500 0.505 0.791
0.000 0.001 0.007
0.500 0.498 0.198

---

# 3
BeCrB4 GGA-PBE optimized geometry; energy of formation from the pure elements = -0.122 eV/atom; ρ = 3.925 g cm⁻³; raw total energy = -6.80 eV per atom; total magnetic moment = 0.296 μB per cell; calculated volume = 7.4 Å³ per atom
1.0
-1.092 -0.721 2.592
-3.050 -2.822 -0.443
1.687 -3.580 1.342
Be B Cr
1 4 1
Direct
0.500 0.500 0.500
0.244 0.093 0.418
0.756 0.907 0.582
0.756 0.582 0.907
0.244 0.418 0.093
0.000 0.000 0.000

---

# 4
Ti2V2Ga3 GGA-PBE optimized geometry; energy of formation from the pure elements = 0.021 eV/atom; ρ = 5.820 g cm⁻³; raw total energy = -6.14 eV per atom; total magnetic moment = 1.479 μB per cell; ΔE to the lowest computed polymorph = 301 meV per atom; calculated volume = 16.6 Å³ per atom
1.0
3.403 0.000 0.000
0.000 5.581 -0.203
-1.701 -1.978 6.184
Ga Ti V
3 2 2
Direct
0.221 0.793 0.442
0.000 0.500 0.000
0.779 0.207 0.558
0.565 0.863 0.131
0.435 0.137 0.869
0.868 0.749 0.737
0.132 0.251 0.263

---

# 5
BaV2Ru2 GGA-PBE optimized geometry; energy of formation from the pure elements = 0.391 eV/atom; ρ = 7.988 g cm⁻³; raw total energy = -7.35 eV per atom; total magnetic moment = 3.889 μB per cell; ΔE to the lowest computed polymorph = 267 meV per atom; calculated volume = 18.4 Å³ per atom
1.0
-4.725 -4.272 4.684
5.546 0.044 5.635
-1.140 2.470 1.103
V Ru Ba
4 4 2
Direct
0.628 0.872 0.500
0.872 0.372 0.500
0.372 0.128 0.500
0.128 0.628 0.500
0.859 0.641 0.000
0.359 0.859 0.000
0.641 0.141 0.000
0.141 0.359 0.000
0.000 0.000 0.000
0.500 0.500 0.000

---

# 6
Dy5PuGe4 GGA-PBE optimized geometry; energy of formation from the pure elements = -0.567 eV/atom; ρ = 8.589 g cm⁻³; raw total energy = -6.15 eV per atom; total magnetic moment = 6.080 μB per cell; calculated volume = 26.0 Å³ per atom
1.0
4.984 0.000 0.000
0.000 6.345 -2.672
-2.492 -3.527 9.721
Ge Pu Dy
4 1 5
Direct
0.320 0.892 0.640
0.010 0.274 0.019
0.680 0.108 0.360
0.990 0.726 0.981
0.500 0.000 0.000
0.837 0.679 0.674
0.163 0.321 0.326
0.834 0.159 0.669
0.166 0.841 0.331
0.500 0.500 0.000

---

# 7
ReAgSb2 GGA-PBE optimized geometry; ρ = 10.148 g cm⁻³; raw total energy = -5.56 eV per atom; total magnetic moment = 0.000 μB per cell; ΔE to the lowest computed polymorph = 0 meV per atom; calculated volume = 22.0 Å³ per atom
1.0
-1.091 -2.831 -1.130
2.992 -0.754 -1.000
1.590 -3.570 7.408
Sb Re Ag
2 1 1
Direct
0.000 0.249 0.948
0.000 0.251 0.552
0.500 0.750 0.750
0.500 0.250 0.250

---

# 8
CdPt GGA-PBE optimized geometry; energy of formation from the pure elements = -0.189 eV/atom; ρ = 14.420 g cm⁻³; raw total energy = -3.67 eV per atom; total magnetic moment = 0.000 μB per cell; calculated volume = 17.7 Å³ per atom
1.0
-0.271 -2.880 -0.724
4.175 0.228 -2.467
2.457 -1.247 4.043
Cd Pt
2 2
Direct
0.000 0.000 0.018
0.500 0.500 0.815
0.000 0.500 0.322
0.500 0.000 0.511

---

# 9
Cu3C GGA-PBE optimized geometry; energy of formation from the pure elements = 0.938 eV/atom; ρ = 7.373 g cm⁻³; raw total energy = -4.44 eV per atom; total magnetic moment = 0.000 μB per cell; calculated volume = 11.4 Å³ per atom
1.0
6.362 0.000 0.000
-3.181 5.510 0.000
0.000 0.000 5.208
Cu C
12 4
Direct
0.000 0.500 0.000
0.867 0.734 0.250
0.500 0.000 0.000
0.867 0.133 0.250
0.133 0.266 0.750
0.133 0.867 0.750
0.266 0.133 0.250
0.500 0.000 0.500
0.734 0.867 0.750
0.000 0.500 0.500
0.500 0.500 0.000
0.500 0.500 0.500
0.000 0.000 0.000
0.333 0.667 0.250
0.667 0.333 0.750
0.000 0.000 0.500

---

# 10
Ca2Mg2Zn GGA-PBE optimized geometry; energy of formation from the pure elements = -0.022 eV/atom; ρ = 2.272 g cm⁻³; raw total energy = -1.71 eV per atom; total magnetic moment = 0.000 μB per cell; ΔE to the lowest computed polymorph = 108 meV per atom; calculated volume = 28.4 Å³ per atom
1.0
2.535 -6.641 4.338
5.524 1.773 5.974
-7.617 2.382 -2.377
Zn Ca Mg
2 4 4
Direct
0.500 0.750 0.250
0.500 0.250 0.750
0.937 0.601 0.336
0.735 0.899 0.836
0.063 0.399 0.664
0.265 0.101 0.164
0.526 0.664 0.862
0.802 0.164 0.638
0.198 0.836 0.362
0.474 0.336 0.138

---

# 11
TbPr2Pt2 GGA-PBE optimized geometry; energy of formation from the pure elements = -0.921 eV/atom; ρ = 10.349 g cm⁻³; raw total energy = -6.17 eV per atom; total magnetic moment = 0.000 μB per cell; ΔE to the lowest computed polymorph = 0 meV per atom; calculated volume = 26.7 Å³ per atom
1.0
3.877 0.000 1.144
1.438 5.640 2.268
0.267 0.193 6.238
Pt Pr Tb
2 2 1
Direct
0.500 0.709 0.291
0.500 0.291 0.709
0.192 0.308 0.308
0.808 0.692 0.692
0.000 0.000 0.000

---

# 12
Sn2AsP GGA-PBE optimized geometry; energy of formation from the pure elements = -0.015 eV/atom; ρ = 6.181 g cm⁻³; raw total energy = -4.53 eV per atom; total magnetic moment = 0.000 μB per cell; ΔE to the lowest computed polymorph = 11 meV per atom; calculated volume = 23.1 Å³ per atom
1.0
-3.438 -1.730 -1.169
-0.133 -2.092 -3.434
0.451 -6.745 1.735
Sn P As
2 1 1
Direct
0.253 0.253 0.241
0.747 0.747 0.759
0.000 0.000 0.000
0.500 0.500 0.500

---

# 13
NpAlPdO6 GGA-PBE optimized geometry; ρ = 7.307 g cm⁻³; raw total energy = -7.72 eV per atom; total magnetic moment = 3.595 μB per cell; calculated volume = 11.8 Å³ per atom
1.0
-3.895 3.316 1.042
-0.406 -5.019 1.378
3.728 1.882 7.951
O Pd Al Np
12 2 2 2
Direct
0.658 0.641 0.134
0.018 0.359 0.634
0.641 0.658 0.634
0.982 0.342 0.134
0.342 0.359 0.866
0.359 0.342 0.366
0.641 0.982 0.866
0.342 0.982 0.634
0.982 0.641 0.366
0.359 0.018 0.134
0.018 0.658 0.866
0.658 0.018 0.366
0.000 0.000 0.000
0.000 0.000 0.500
0.333 0.667 0.750
0.667 0.333 0.250
0.333 0.667 0.250
0.667 0.333 0.750

---

# 14
CsOsPb2O8 GGA-PBE optimized geometry; ρ = 6.265 g cm⁻³; raw total energy = -5.90 eV per atom; total magnetic moment = 1.338 μB per cell; calculated volume = 19.1 Å³ per atom
1.0
5.811 -0.997 -0.527
-0.745 5.370 1.085
-0.788 2.128 7.989
O Os Pb Cs
8 1 2 1
Direct
0.461 0.869 0.517
0.778 0.078 0.101
0.078 0.742 0.223
0.728 0.715 0.963
0.539 0.131 0.483
0.222 0.922 0.899
0.922 0.258 0.777
0.272 0.285 0.037
0.000 0.000 0.000
0.571 0.366 0.858
0.429 0.634 0.142
0.000 0.000 0.500

---

# 15
CrHgAs2 GGA-PBE optimized geometry; energy of formation from the pure elements = 0.495 eV/atom; ρ = 8.443 g cm⁻³; raw total energy = -4.31 eV per atom; total magnetic moment = 3.833 μB per cell; calculated volume = 19.8 Å³ per atom
1.0
4.819 0.000 0.000
2.410 4.174 0.000
2.410 1.391 3.935
As Cr Hg
2 1 1
Direct
0.250 0.250 0.250
0.000 0.000 0.000
0.500 0.500 0.500
0.750 0.750 0.750

---

# 16
MnTcAu3 GGA-PBE optimized geometry; energy of formation from the pure elements = 1.212 eV/atom; ρ = 10.856 g cm⁻³; raw total energy = -4.66 eV per atom; total magnetic moment = 8.195 μB per cell; ΔE to the lowest computed polymorph = 0 meV per atom; calculated volume = 22.8 Å³ per atom
1.0
-0.830 4.763 0.332
-2.647 -0.739 3.991
3.973 0.502 2.728
Tc Au Mn
1 3 1
Direct
0.500 0.500 0.500
0.500 0.000 0.000
0.000 0.500 0.000
0.000 0.000 0.500
0.000 0.000 0.000

---

# 17
Mg3ScSb GGA-PBE optimized geometry; ρ = 2.380 g cm⁻³; raw total energy = -2.14 eV per atom; total magnetic moment = 0.000 μB per cell; ΔE to the lowest computed polymorph = 445 meV per atom; calculated volume = 33.4 Å³ per atom
1.0
5.509 0.000 0.000
0.000 5.509 0.000
0.000 0.000 5.509
Mg Sc Sb
3 1 1
Direct
0.000 0.500 0.000
0.000 0.000 0.500
0.500 0.000 0.000
0.000 0.000 0.000
0.500 0.500 0.500

---

# 18
Sm3Cu2GePd9 GGA-PBE optimized geometry; energy of formation from the pure elements = -0.451 eV/atom; ρ = 8.521 g cm⁻³; raw total energy = -5.36 eV per atom; total magnetic moment = 0.000 μB per cell; calculated volume = 20.9 Å³ per atom
1.0
5.644 0.000 0.000
-2.822 4.888 0.000
0.000 0.000 11.364
Pd Cu Sm Ge
9 2 3 1
Direct
0.169 0.831 0.341
0.831 0.169 0.659
0.831 0.662 0.659
0.500 0.500 0.000
0.000 0.500 0.000
0.169 0.338 0.341
0.338 0.169 0.659
0.662 0.831 0.341
0.500 0.000 0.000
0.667 0.333 0.830
0.333 0.667 0.170
0.667 0.333 0.243
0.000 0.000 0.000
0.333 0.667 0.757
0.000 0.000 0.500

---

# 19
K2Pm2RuO6 GGA-PBE optimized geometry; ρ = 4.831 g cm⁻³; raw total energy = -6.73 eV per atom; total magnetic moment = 2.000 μB per cell; calculated volume = 17.7 Å³ per atom
1.0
5.905 0.016 0.139
-2.904 5.142 0.139
-0.981 -1.686 6.298
K O Ru Pm
2 6 1 2
Direct
0.843 0.157 0.000
0.157 0.843 0.000
0.046 0.355 0.675
0.235 0.235 0.326
0.954 0.645 0.325
0.645 0.954 0.325
0.765 0.765 0.674
0.355 0.046 0.675
0.000 0.000 0.500
0.666 0.334 0.500
0.334 0.666 0.500

---

# 20
BaPdS GGA-PBE optimized geometry; ρ = 6.303 g cm⁻³; raw total energy = -4.96 eV per atom; total magnetic moment = 0.000 μB per cell; calculated volume = 24.2 Å³ per atom
1.0
-1.345 -0.128 -4.192
0.829 -3.551 -2.471
-7.499 -3.499 2.512
Pd Ba S
2 2 2
Direct
0.882 0.807 0.366
0.216 0.141 0.866
0.549 0.474 0.616
0.549 0.474 0.116
0.216 0.140 0.366
0.882 0.808 0.866